Here is crystalline Be6GaTc2 at its relaxed geometry from the Open Quantum Materials Database. Energies are from PBE.

Results
E, hartree per atom: -0.1925
Total magnetic moment, μB/atom: 0.00

Lattice parameters (Å, degrees): 4.6260 4.6260 7.0409 111.64 111.64 41.83
Sites, in units of the cell vectors:
Be 0.0114 0.0114 0.3535
Be 0.3272 0.3272 0.1071
Be 0.3755 0.3755 0.4265
Be 0.6245 0.6245 0.5735
Be 0.6728 0.6728 0.8929
Be 0.9886 0.9886 0.6465
Ga 0.0000 0.0000 0.0000
Tc 0.3093 0.3093 0.7289
Tc 0.6907 0.6907 0.2711



Here is crystalline Be2GaTc2 at its relaxed geometry from the Open Quantum Materials Database. Energies are from PBE.

Results
E, hartree per atom: -0.2410
Total magnetic moment, μB/atom: 0.01

Lattice parameters (Å, degrees): 5.9910 5.9910 3.1872 90.00 90.00 90.00
Sites, in units of the cell vectors:
Be 0.1195 0.3805 0.0000
Be 0.3805 0.8805 0.0000
Be 0.6195 0.1195 0.0000
Be 0.8805 0.6195 0.0000
Ga 0.0000 0.0000 0.0000
Ga 0.5000 0.5000 0.0000
Tc 0.1752 0.6752 0.5000
Tc 0.3248 0.1752 0.5000
Tc 0.6752 0.8248 0.5000
Tc 0.8248 0.3248 0.5000



Here is crystalline BeGaTcTe at its relaxed geometry from the Open Quantum Materials Database. Energies are from PBE.

Results
Energy above the most stable polymorph in this dataset, meV/atom: 0
E, hartree per atom: -0.1673
Total magnetic moment, μB/atom: 0.00

Lattice parameters (Å, degrees): 4.4953 4.4953 4.4953 60.00 60.00 60.00
Sites, in units of the cell vectors:
Be 0.0000 0.0000 0.0000
Ga 0.7500 0.7500 0.7500
Tc 0.5000 0.5000 0.5000
Te 0.2500 0.2500 0.2500



Here is crystalline BeGaTcTe at its relaxed geometry from the Open Quantum Materials Database. Energies are from PBE.

Results
Energy above the most stable polymorph in this dataset, meV/atom: 194
E, hartree per atom: -0.1602
Total magnetic moment, μB/atom: 0.07

Lattice parameters (Å, degrees): 4.5301 4.5301 4.5301 60.00 60.00 60.00
Sites, in units of the cell vectors:
Be 0.0000 0.0000 0.0000
Ga 0.5000 0.5000 0.5000
Tc 0.7500 0.7500 0.7500
Te 0.2500 0.2500 0.2500



Here is crystalline ThBeGa at its relaxed geometry from the Open Quantum Materials Database. Energies are from PBE.

Results
Energy above the most stable polymorph in this dataset, meV/atom: 0
E, hartree per atom: -0.1783
Total magnetic moment, μB/atom: 0.00

Lattice parameters (Å, degrees): 4.4621 4.4621 4.4621 60.00 60.00 60.00
Sites, in units of the cell vectors:
Th 0.0000 0.0000 0.0000
Be 0.7500 0.7500 0.7500
Ga 0.5000 0.5000 0.5000



Here is crystalline Be2GaW at its relaxed geometry from the Open Quantum Materials Database. Energies are from PBE.

Results
E, hartree per atom: -0.1947
Total magnetic moment, μB/atom: 0.18

Lattice parameters (Å, degrees): 4.1433 4.1433 4.1433 60.00 60.00 60.00
Sites, in units of the cell vectors:
Be 0.0000 0.0000 0.0000
Be 0.2500 0.2500 0.2500
Ga 0.5000 0.5000 0.5000
W 0.7500 0.7500 0.7500



Here is crystalline BeGaW3 at its relaxed geometry from the Open Quantum Materials Database. Energies are from PBE.

Results
E, hartree per atom: -0.3031
Total magnetic moment, μB/atom: 0.00

Lattice parameters (Å, degrees): 4.2397 4.2397 4.2397 90.00 90.00 90.00
Sites, in units of the cell vectors:
Be 0.0000 0.0000 0.0000
Ga 0.5000 0.5000 0.5000
W 0.0000 0.0000 0.5000
W 0.0000 0.5000 0.0000
W 0.5000 0.0000 0.0000



Here is crystalline BeZnGa at its relaxed geometry from the Open Quantum Materials Database. Energies are from PBE.

Results
E, hartree per atom: -0.0883

Lattice parameters (Å, degrees): 4.0198 4.0198 4.0198 60.00 60.00 60.00
Sites, in units of the cell vectors:
Be 0.0000 0.0000 0.0000
Zn 0.5000 0.5000 0.5000
Ga 0.2500 0.2500 0.2500



Here is crystalline BeZnGa2 at its relaxed geometry from the Open Quantum Materials Database. Energies are from PBE.

Results
E, hartree per atom: -0.0894

Lattice parameters (Å, degrees): 4.4308 4.4308 4.4308 60.00 60.00 60.00
Sites, in units of the cell vectors:
Be 0.0000 0.0000 0.0000
Zn 0.2500 0.2500 0.2500
Ga 0.5000 0.5000 0.5000
Ga 0.7500 0.7500 0.7500



Here is crystalline ZrBeGa at its relaxed geometry from the Open Quantum Materials Database. Energies are from PBE.

Results
E, hartree per atom: -0.1718
Total magnetic moment, μB/atom: 0.00

Lattice parameters (Å, degrees): 4.3561 4.3561 4.3561 60.00 60.00 60.00
Sites, in units of the cell vectors:
Zr 0.0000 0.0000 0.0000
Be 0.7500 0.7500 0.7500
Ga 0.2500 0.2500 0.2500



Here is crystalline ZrBe2Ga at its relaxed geometry from the Open Quantum Materials Database. Energies are from PBE.

Results
E, hartree per atom: -0.1697
Total magnetic moment, μB/atom: 0.00

Lattice parameters (Å, degrees): 4.3101 4.3101 4.3101 60.00 60.00 60.00
Sites, in units of the cell vectors:
Zr 0.0000 0.0000 0.0000
Be 0.2500 0.2500 0.2500
Be 0.5000 0.5000 0.5000
Ga 0.7500 0.7500 0.7500



Here is crystalline ZrBeGa2 at its relaxed geometry from the Open Quantum Materials Database. Energies are from PBE.

Results
E, hartree per atom: -0.1630
Total magnetic moment, μB/atom: 0.00

Lattice parameters (Å, degrees): 4.4895 4.4895 4.4895 60.00 60.00 60.00
Sites, in units of the cell vectors:
Zr 0.0000 0.0000 0.0000
Be 0.7500 0.7500 0.7500
Ga 0.2500 0.2500 0.2500
Ga 0.5000 0.5000 0.5000



Here is crystalline GdBe2 at its relaxed geometry from the Open Quantum Materials Database. Energies are from PBE.

Results
E, hartree per atom: -0.1118
Total magnetic moment, μB/atom: 0.00

Lattice parameters (Å, degrees): 4.4448 4.4448 4.4448 60.00 60.00 60.00
Sites, in units of the cell vectors:
Gd 0.0000 0.0000 0.0000
Be 0.2500 0.2500 0.2500
Be 0.7500 0.7500 0.7500



Here is crystalline GdBe12 at its relaxed geometry from the Open Quantum Materials Database. Energies are from PBE.

Results
E, hartree per atom: -0.1423
Total magnetic moment, μB/atom: 0.00

Lattice parameters (Å, degrees): 5.8620 5.8620 5.8620 97.40 97.40 137.95
Sites, in units of the cell vectors:
Gd 0.0000 0.0000 0.0000
Be 0.0000 0.0000 0.5000
Be 0.0000 0.3589 0.3589
Be 0.0000 0.5000 0.0000
Be 0.0000 0.6411 0.6411
Be 0.2628 0.5000 0.7628
Be 0.3589 0.0000 0.3589
Be 0.5000 0.0000 0.0000
Be 0.5000 0.2628 0.7628
Be 0.5000 0.5000 0.5000
Be 0.5000 0.7372 0.2372
Be 0.6411 0.0000 0.6411
Be 0.7372 0.5000 0.2372



Here is crystalline Gd5Be at its relaxed geometry from the Open Quantum Materials Database. Energies are from PBE.

Results
E, hartree per atom: -0.1340
Total magnetic moment, μB/atom: 0.00

Lattice parameters (Å, degrees): 6.3168 6.3168 5.7637 90.00 90.00 120.00
Sites, in units of the cell vectors:
Gd 0.0000 0.5000 0.0000
Gd 0.3333 0.6667 0.5000
Gd 0.5000 0.0000 0.0000
Gd 0.5000 0.5000 0.0000
Gd 0.6667 0.3333 0.5000
Be 0.0000 0.0000 0.5000



Here is crystalline Gd2Be at its relaxed geometry from the Open Quantum Materials Database. Energies are from PBE.

Results
Energy above the most stable polymorph in this dataset, meV/atom: 0
E, hartree per atom: -0.1488
Total magnetic moment, μB/atom: 0.01

Lattice parameters (Å, degrees): 4.8132 4.8132 4.8132 60.00 60.00 60.00
Sites, in units of the cell vectors:
Gd 0.2500 0.2500 0.2500
Gd 0.7500 0.7500 0.7500
Be 0.0000 0.0000 0.0000



Here is crystalline GdBe13 at its relaxed geometry from the Open Quantum Materials Database. Energies are from PBE.

Results
E, hartree per atom: -0.1470
Total magnetic moment, μB/atom: 0.00

Lattice parameters (Å, degrees): 7.2207 7.2207 7.2207 60.00 60.00 60.00
Sites, in units of the cell vectors:
Gd 0.2500 0.2500 0.2500
Gd 0.7500 0.7500 0.7500
Be 0.0000 0.0000 0.0000
Be 0.0626 0.2899 0.7101
Be 0.0626 0.7101 0.9374
Be 0.0626 0.9374 0.2899
Be 0.2101 0.4374 0.7899
Be 0.2101 0.5626 0.4374
Be 0.2101 0.7899 0.5626
Be 0.2899 0.0626 0.9374
Be 0.2899 0.7101 0.0626
Be 0.2899 0.9374 0.7101
Be 0.4374 0.2101 0.5626
Be 0.4374 0.5626 0.7899
Be 0.4374 0.7899 0.2101
Be 0.5000 0.5000 0.5000
Be 0.5626 0.2101 0.7899
Be 0.5626 0.4374 0.2101
Be 0.5626 0.7899 0.4374
Be 0.7101 0.0626 0.2899
Be 0.7101 0.2899 0.9374
Be 0.7101 0.9374 0.0626
Be 0.7899 0.2101 0.4374
Be 0.7899 0.4374 0.5626
Be 0.7899 0.5626 0.2101
Be 0.9374 0.0626 0.7101
Be 0.9374 0.2899 0.0626
Be 0.9374 0.7101 0.2899



Here is crystalline GdBe2 at its relaxed geometry from the Open Quantum Materials Database. Energies are from PBE.

Results
E, hartree per atom: -0.0550
Total magnetic moment, μB/atom: 0.71

Lattice parameters (Å, degrees): 9.5410 9.5410 9.5410 60.00 60.00 60.00
Sites, in units of the cell vectors:
Gd 0.1250 0.1250 0.1250
Gd 0.8750 0.8750 0.8750
Be 0.0000 0.0000 0.0000
Be 0.0000 0.0000 0.5000
Be 0.0000 0.5000 0.0000
Be 0.5000 0.0000 0.0000



Here is crystalline GdBe14 at its relaxed geometry from the Open Quantum Materials Database. Energies are from PBE.

Results
E, hartree per atom: -0.1317
Total magnetic moment, μB/atom: 0.00

Lattice parameters (Å, degrees): 5.5569 5.5569 5.5569 75.20 75.20 75.20
Sites, in units of the cell vectors:
Gd 0.0000 0.0000 0.0000
Be 0.1592 0.5000 0.8408
Be 0.1592 0.8408 0.5000
Be 0.2134 0.2134 0.2134
Be 0.2385 0.2385 0.5635
Be 0.2385 0.5635 0.2385
Be 0.4365 0.7615 0.7615
Be 0.5000 0.1592 0.8408
Be 0.5000 0.8408 0.1592
Be 0.5635 0.2385 0.2385
Be 0.7615 0.4365 0.7615
Be 0.7615 0.7615 0.4365
Be 0.7866 0.7866 0.7866
Be 0.8408 0.1592 0.5000
Be 0.8408 0.5000 0.1592



Here is crystalline Gd2Be at its relaxed geometry from the Open Quantum Materials Database. Energies are from PBE.

Results
Energy above the most stable polymorph in this dataset, meV/atom: 681
E, hartree per atom: -0.1238
Total magnetic moment, μB/atom: 0.01

Lattice parameters (Å, degrees): 6.1248 6.1248 6.1248 60.00 60.00 60.00
Sites, in units of the cell vectors:
Gd 0.0000 0.0000 0.0000
Gd 0.0000 0.0000 0.5000
Gd 0.0000 0.5000 0.0000
Gd 0.5000 0.0000 0.0000
Be 0.3750 0.3750 0.3750
Be 0.6250 0.6250 0.6250